Record 1
The following is a DFT calculation (GGA-PBE) of crystalline TbBeZn at its relaxed geometry.

Lattice parameters (Å, degrees): 4.338 6.983 7.115 90.00 90.00 90.00
Fractional coordinates of all 12 atoms:
Tb  0.250  0.796  0.490
Tb  0.750  0.296  0.010
Tb  0.250  0.704  0.990
Tb  0.750  0.204  0.510
Zn  0.750  0.907  0.192
Zn  0.750  0.593  0.692
Zn  0.250  0.093  0.808
Zn  0.250  0.407  0.308
Be  0.750  0.578  0.316
Be  0.750  0.922  0.816
Be  0.250  0.078  0.184
Be  0.250  0.422  0.684

- Excess energy over the best structure of this formula in the dataset: 0 meV/atom
- Crystal system: orthorhombic
- Calculated formation energy: -0.169 eV/atom
- Space group: No. 62
- Energy: -40.6 eV per cell
- DOS at the Fermi energy: 2.6 states/eV/f.u.
- Size of the total moment: 0.0 Bohr magnetons per cell

---

Record 2
The following is a DFT calculation (GGA-PBE) of crystalline DyHo3Sc at its relaxed geometry.

Lattice parameters (Å, degrees): 3.486 3.486 14.233 82.97 82.97 60.00
Fractional coordinates of all 5 atoms:
Dy  0.835  0.835  0.496
Ho  0.237  0.237  0.290
Ho  0.031  0.031  0.906
Ho  0.433  0.433  0.701
Sc  0.634  0.634  0.098

- Excess energy over the best structure of this formula in the dataset: 22 meV/atom
- Crystal system: trigonal
- Calculated formation energy: 0.040 eV/atom
- Space group: No. 160
- Energy: -24.5 eV per cell
- DOS at the Fermi energy: 7.2 states/eV/f.u.
- Size of the total moment: 0.0 Bohr magnetons per cell

---

Record 3
The following is a DFT calculation (GGA-PBE) of crystalline Er3Cd3Hg2 at its relaxed geometry.

Lattice parameters (Å, degrees): 3.807 7.803 7.803 120.00 90.00 90.00
Fractional coordinates of all 8 atoms:
Er  0.500  0.400  0.400
Er  0.500  0.600  0.000
Er  0.500  0.000  0.600
Cd  0.000  0.772  0.772
Cd  0.000  0.228  0.000
Cd  0.000  0.000  0.228
Hg  0.000  0.333  0.667
Hg  0.000  0.667  0.333

- Crystal system: hexagonal
- Calculated formation energy: -0.335 eV/atom
- Space group: No. 189
- Energy: -19.7 eV per cell
- DOS at the Fermi energy: 6.0 states/eV/f.u.
- Size of the total moment: 0.0 Bohr magnetons per cell

---

Record 4
The following is a DFT calculation (GGA-PBE) of crystalline Cs5Rb12F3 at its relaxed geometry.

Lattice parameters (Å, degrees): 21.637 21.637 21.637 109.47 109.47 109.47
Fractional coordinates of all 80 atoms:
Cs  0.125  0.375  0.250
Cs  0.000  0.500  0.000
Cs  0.000  0.000  0.000
Cs  0.375  0.250  0.125
Cs  0.500  0.000  0.500
Cs  0.500  0.500  0.000
Cs  0.125  0.750  0.375
Cs  0.750  0.125  0.875
Cs  0.750  0.625  0.375
Cs  0.375  0.125  0.750
Cs  0.625  0.875  0.250
Cs  0.500  0.500  0.500
Cs  0.500  0.000  0.000
Cs  0.000  0.000  0.500
Cs  0.250  0.375  0.625
Cs  0.250  0.875  0.125
Cs  0.000  0.500  0.500
Cs  0.875  0.250  0.625
Cs  0.625  0.750  0.875
Cs  0.875  0.625  0.750
Rb  0.775  0.129  0.136
Rb  0.362  0.636  0.508
Rb  0.864  0.371  0.225
Rb  0.636  0.275  0.129
Rb  0.646  0.775  0.638
Rb  0.864  0.492  0.138
Rb  0.362  0.725  0.354
Rb  0.992  0.854  0.129
Rb  0.492  0.864  0.638
Rb  0.775  0.646  0.138
Rb  0.725  0.364  0.371
Rb  0.862  0.008  0.136
Rb  0.129  0.775  0.636
Rb  0.371  0.508  0.146
Rb  0.146  0.008  0.371
Rb  0.354  0.129  0.492
Rb  0.146  0.138  0.275
Rb  0.364  0.638  0.992
Rb  0.862  0.854  0.225
Rb  0.129  0.354  0.992
Rb  0.371  0.864  0.725
Rb  0.492  0.629  0.354
Rb  0.008  0.862  0.636
Rb  0.725  0.362  0.854
Rb  0.508  0.371  0.646
Rb  0.992  0.138  0.364
Rb  0.275  0.638  0.146
Rb  0.138  0.146  0.775
Rb  0.629  0.136  0.275
Rb  0.871  0.646  0.008
Rb  0.636  0.362  0.008
Rb  0.646  0.871  0.508
Rb  0.854  0.862  0.725
Rb  0.854  0.992  0.629
Rb  0.871  0.225  0.364
Rb  0.138  0.992  0.864
Rb  0.629  0.492  0.854
Rb  0.508  0.136  0.362
Rb  0.225  0.354  0.862
Rb  0.275  0.636  0.629
Rb  0.008  0.146  0.871
Rb  0.638  0.275  0.646
Rb  0.364  0.725  0.871
Rb  0.136  0.508  0.862
Rb  0.354  0.225  0.362
Rb  0.136  0.629  0.775
Rb  0.638  0.364  0.492
Rb  0.225  0.871  0.864
F  0.750  0.375  0.125
F  0.875  0.750  0.125
F  0.375  0.750  0.625
F  0.250  0.125  0.375
F  0.875  0.125  0.250
F  0.375  0.625  0.250
F  0.625  0.375  0.750
F  0.125  0.875  0.750
F  0.750  0.875  0.625
F  0.625  0.250  0.375
F  0.125  0.250  0.875
F  0.250  0.625  0.875

- Crystal system: cubic
- Space group: No. 230
- Energy: -136.7 eV per cell
- Formation energy (no corrections): -0.634 eV/atom
- DOS at the Fermi energy: 15.2 states/eV/f.u.
- Size of the total moment: 0.0 Bohr magnetons per cell

---

Record 5
The following is a DFT calculation (GGA-PBE) of crystalline Ca2TbHoS4 at its relaxed geometry.

Lattice parameters (Å, degrees): 3.939 6.816 6.931 109.17 90.00 90.00
Fractional coordinates of all 8 atoms:
Ca  0.500  0.000  0.500
Ca  0.000  0.500  0.500
Tb  0.500  0.500  0.000
Ho  0.000  0.000  0.000
S  0.500  0.246  0.244
S  0.500  0.754  0.756
S  0.000  0.249  0.755
S  0.000  0.751  0.245

- Crystal system: monoclinic
- Space group: No. 10
- Energy: -46.1 eV per cell
- Formation energy (no corrections): -2.053 eV/atom
- DOS at the Fermi energy: 3.4 states/eV/f.u.
- Size of the total moment: 0.0 Bohr magnetons per cell

---

Record 6
The following is a DFT calculation (GGA-PBE) of crystalline Ac8Ir3Br4N at its relaxed geometry.

Lattice parameters (Å, degrees): 8.485 9.664 8.593 116.86 119.58 90.00
Fractional coordinates of all 16 atoms:
Ac  0.219  0.685  0.969
Ac  0.232  0.695  0.465
Ac  0.268  0.305  0.535
Ac  0.751  0.685  0.969
Ac  0.249  0.315  0.031
Ac  0.732  0.695  0.465
Ac  0.768  0.305  0.535
Ac  0.781  0.315  0.031
Ir  0.500  0.500  0.000
Ir  0.500  0.500  0.500
Ir  0.000  0.500  0.500
Br  0.500  0.000  0.000
Br  0.500  0.000  0.500
Br  0.000  0.000  0.000
Br  0.000  0.000  0.500
N  0.000  0.500  0.000

- Crystal system: monoclinic
- Space group: No. 12
- Energy: -92.9 eV per cell
- Formation energy (no corrections): -1.154 eV/atom
- DOS at the Fermi energy: 8.3 states/eV/f.u.
- Size of the total moment: 0.0 Bohr magnetons per cell

---

Record 7
The following is a DFT calculation (GGA-PBE) of crystalline La2Cu at its relaxed geometry.

Lattice parameters (Å, degrees): 5.104 5.104 3.499 90.00 90.00 90.00
Fractional coordinates of all 3 atoms:
Cu  0.000  0.000  0.000
La  0.000  0.500  0.500
La  0.500  0.000  0.500

- Crystal system: tetragonal
- Calculated formation energy: 0.088 eV/atom
- Space group: No. 123
- Energy: -13.7 eV per cell
- DOS at the Fermi energy: 5.4 states/eV/f.u.
- Size of the total moment: 0.0 Bohr magnetons per cell

---

Record 8
The following is a DFT calculation (GGA-PBE) of crystalline Sr6AsSe3Br2 at its relaxed geometry.

Lattice parameters (Å, degrees): 7.748 7.748 7.747 99.57 99.57 119.89
Fractional coordinates of all 12 atoms:
Sr  0.913  0.598  0.740
Sr  0.773  0.773  0.262
Sr  0.087  0.402  0.260
Sr  0.598  0.913  0.740
Sr  0.227  0.227  0.738
Sr  0.402  0.087  0.260
As  0.000  0.000  0.000
Se  0.173  0.827  0.500
Se  0.827  0.173  0.500
Se  0.500  0.500  0.500
Br  0.334  0.666  0.000
Br  0.666  0.334  0.000

- Crystal system: monoclinic
- Space group: No. 12
- Energy: -50.3 eV per cell
- Formation energy (no corrections): -1.809 eV/atom
- DOS at the Fermi energy: 3.6 states/eV/f.u.
- Size of the total moment: 0.0 Bohr magnetons per cell